1.
PrHS2 | PBE | optimized geometry

The space group is P2_1/c (No. 14) and the conventional cell measures 5.3658, 7.7049 and 7.6867 Å, with angles of 90.00, 97.21 and 90.00 degrees. The inequivalent atoms are Pr at (0.1658, 0.0460, 0.2992), H at (0.3925, 0.6727, 0.5504), S at (0.1440, 0.7091, 0.5014) and S at (0.3259, 0.1139, 0.6737).

The value obtained for the offset from the most stable computed form is 22 meV per atom. The density of states at the Fermi level comes out at 0.000 states/eV/atom. Its total energy is -5.38 eV/atom.

=====

2.
AcEr2Fe | PBE | optimized geometry

The space group is P4/mmm (No. 123) and the conventional cell measures 3.4341, 3.4341 and 9.2699 Å, with angles of 90.00, 90.00 and 90.00 degrees. The inequivalent atoms are Ac at (0.0000, 0.0000, 0.0000), Er at (0.5000, 0.5000, 0.3311) and Fe at (0.0000, 0.0000, 0.5000).

The value obtained for the offset from the most stable computed form is 0 meV per atom. As for the formation enthalpy at 0 K: 0.112 eV/atom. The density of states at the Fermi level comes out at 0.873 states/eV/atom. Its total energy is -5.31 eV/atom.